[1]
First-principles (GGA-PBE) data for a geometry-optimized La3Ce4Co2 structure, as listed in Alexandria via LeMat-Bulk.

a b c (Å): 3.5913 8.4297 9.2769
angles (deg): 62.00 78.84 77.70
Last column: magnetic moment on the atom in μB.
Fractional positions:
La: 0.6386 0.1102 0.6127  0.02
La: 0.0000 0.0000 0.0000  -0.01
La: 0.3614 0.8898 0.3873  0.02
Ce: 0.3169 0.3228 0.0435  0.08
Ce: 0.9071 0.4936 0.6921  0.55
Ce: 0.0929 0.5064 0.3079  0.55
Ce: 0.6831 0.6772 0.9565  0.08
Co: 0.7402 0.2536 0.2661  -0.06
Co: 0.2598 0.7464 0.7339  -0.06

Properties
ΔE_f, eV/atom: -0.026
Size of the total moment, μB/f.u.: 1.5
DFT total energy, eV/atom: -5.885

[2]
First-principles (GGA-PBE) data for a geometry-optimized Y2Os2Ru structure, as listed in Alexandria via LeMat-Bulk.

a b c (Å): 6.6757 6.6757 4.5524
angles (deg): 90.00 90.00 90.00
Fractional positions:
Y: 0.1803 0.6803 0.5000
Y: 0.6803 0.8197 0.5000
Y: 0.8197 0.3197 0.5000
Y: 0.3197 0.1803 0.5000
Ru: 0.0000 0.0000 0.0000
Ru: 0.5000 0.5000 0.0000
Os: 0.3731 0.8731 0.0000
Os: 0.8731 0.6269 0.0000
Os: 0.6269 0.1269 0.0000
Os: 0.1269 0.3731 0.0000

Properties
Offset from the most stable computed form, meV per atom: 0
ΔE_f, eV/atom: -0.051
Size of the total moment, μB/f.u.: 0.0
DFT total energy, eV/atom: -8.984

[3]
First-principles (GGA-PBE) data for a geometry-optimized Ce2BiH structure, as listed in Alexandria via LeMat-Bulk.

a b c (Å): 4.3987 4.9029 8.9081
angles (deg): 105.97 90.00 90.00
Last column: magnetic moment on the atom in μB.
Fractional positions:
Ce: 0.0000 0.5000 0.0000  0.93
Ce: 0.5000 0.0000 0.0000  0.97
Ce: 0.5000 0.6834 0.3669  1.11
Ce: 0.5000 0.3166 0.6331  1.11
Bi: 0.0000 0.8510 0.7021  -0.05
Bi: 0.0000 0.1490 0.2979  -0.05
H: 0.5000 0.5533 0.1066  -0.01
H: 0.5000 0.4467 0.8934  -0.01

Properties
Offset from the most stable computed form, meV per atom: 0
Size of the total moment, μB/f.u.: 2.6
DFT total energy, eV/atom: -5.300

[4]
First-principles (GGA-PBE) data for a geometry-optimized InW structure, as listed in Alexandria via LeMat-Bulk.

a b c (Å): 5.9079 5.9079 4.6422
angles (deg): 90.00 90.00 152.66
Fractional positions:
In: 0.5690 0.4310 0.7500
In: 0.4310 0.5690 0.2500
W: 0.8115 0.1885 0.7500
W: 0.1885 0.8115 0.2500

Properties
Offset from the most stable computed form, meV per atom: 349
ΔE_f, eV/atom: 0.751
Size of the total moment, μB/f.u.: 0.0
DFT total energy, eV/atom: -7.095

[5]
First-principles (GGA-PBE) data for a geometry-optimized Sm2CdI structure, as listed in Alexandria via LeMat-Bulk.

a b c (Å): 3.8696 3.8696 9.7118
angles (deg): 78.51 78.51 60.00
Fractional positions:
Sm: 0.0823 0.0823 0.7531
Sm: 0.2511 0.2511 0.2468
Cd: 0.6669 0.6669 0.9994
I: 0.4998 0.4998 0.5006

Properties
Offset from the most stable computed form, meV per atom: 0
Formation energy without anion corrections, eV/atom: -0.5176
Size of the total moment, μB/f.u.: 0.0
DFT total energy, eV/atom: -3.493

[6]
First-principles (GGA-PBE) data for a geometry-optimized LaPm4Nd4 structure, as listed in Alexandria via LeMat-Bulk.

a b c (Å): 5.2090 8.2256 8.2256
angles (deg): 84.25 71.54 71.54
Fractional positions:
La: 0.0000 0.0000 0.0000
Pm: 0.6653 0.3348 0.3347
Pm: 0.3347 0.6652 0.6653
Pm: 0.0000 0.6653 0.3348
Pm: 0.0000 0.3347 0.6652
Nd: 0.6676 0.6648 0.9999
Nd: 0.3324 0.3352 0.0001
Nd: 0.6676 0.0001 0.6648
Nd: 0.3324 0.9999 0.3352

Properties
Offset from the most stable computed form, meV per atom: 7
ΔE_f, eV/atom: 0.015
Size of the total moment, μB/f.u.: 0.0
DFT total energy, eV/atom: -4.763

[7]
First-principles (GGA-PBE) data for a geometry-optimized SbMoAuI2 structure, as listed in Alexandria via LeMat-Bulk.

a b c (Å): 5.3839 5.3839 5.3548
angles (deg): 90.00 90.00 90.00
Last column: magnetic moment on the atom in μB.
Fractional positions:
I: 0.0000 0.5000 0.0000  0.02
I: 0.5000 0.0000 0.0000  0.02
Sb: 0.0000 0.0000 0.5000  -0.03
Mo: 0.0000 0.0000 0.0000  0.45
Au: 0.5000 0.5000 0.5000  -0.01

Properties
Offset from the most stable computed form, meV per atom: 0
Formation energy without anion corrections, eV/atom: 0.7295
Size of the total moment, μB/f.u.: 0.5
DFT total energy, eV/atom: -3.537

[8]
First-principles (GGA-PBE) data for a geometry-optimized Na3Pr3IO8 structure, as listed in Alexandria via LeMat-Bulk.

a b c (Å): 7.3779 7.2194 7.0128
angles (deg): 121.74 90.00 120.73
Last column: magnetic moment on the atom in μB.
Fractional positions:
Na: 0.0000 0.0000 0.0000  0.00
Na: 0.0000 0.5000 0.0000  0.00
Na: 0.5000 0.5000 0.0000  0.00
Pr: 0.5000 0.0000 0.5000  0.01
Pr: 0.5000 0.5000 0.5000  0.01
Pr: 0.0000 0.5000 0.5000  0.01
I: 0.0000 0.0000 0.5000  0.34
O: 0.2561 0.5123 0.2839  0.00
O: 0.7439 0.4877 0.7161  0.00
O: 0.7818 0.5636 0.3059  0.03
O: 0.2182 0.4364 0.6941  0.03
O: 0.7616 0.0151 0.2922  0.10
O: 0.2384 0.9849 0.7078  0.10
O: 0.2536 0.0151 0.2922  0.10
O: 0.7464 0.9849 0.7078  0.10

Properties
Formation energy without anion corrections, eV/atom: -2.0148
Size of the total moment, μB/f.u.: 1.0
DFT total energy, eV/atom: -5.982

[9]
First-principles (GGA-PBE) data for a geometry-optimized ZnSbAu2 structure, as listed in Alexandria via LeMat-Bulk.

a b c (Å): 4.8253 4.8253 4.8253
angles (deg): 60.00 60.00 60.00
Fractional positions:
Au: 0.0000 0.0000 0.0000
Au: 0.2500 0.2500 0.2500
Sb: 0.5000 0.5000 0.5000
Zn: 0.7500 0.7500 0.7500

Properties
Offset from the most stable computed form, meV per atom: 199
Formation energy without anion corrections, eV/atom: 0.1334
Size of the total moment, μB/f.u.: 0.0
DFT total energy, eV/atom: -2.854

[10]
First-principles (GGA-PBE) data for a geometry-optimized Li3Y2ThSe6 structure, as listed in Alexandria via LeMat-Bulk.

a b c (Å): 7.0677 7.0677 6.9556
angles (deg): 99.73 99.73 120.02
Fractional positions:
Li: 0.1683 0.8317 0.5000
Li: 0.8317 0.1683 0.5000
Li: 0.5000 0.5000 0.5000
Y: 0.3336 0.6664 0.0000
Y: 0.6664 0.3336 0.0000
Th: 0.0000 0.0000 0.0000
Se: 0.9138 0.5765 0.7405
Se: 0.7495 0.7495 0.2603
Se: 0.0862 0.4235 0.2595
Se: 0.5765 0.9138 0.7405
Se: 0.2505 0.2505 0.7397
Se: 0.4235 0.0862 0.2595

Properties
Formation energy without anion corrections, eV/atom: -1.6242
Size of the total moment, μB/f.u.: 0.0
DFT total energy, eV/atom: -5.541

[11]
First-principles (GGA-PBE) data for a geometry-optimized CdSb2 structure, as listed in Alexandria via LeMat-Bulk.

a b c (Å): 5.3574 5.3574 6.3759
angles (deg): 90.00 90.00 120.00
Fractional positions:
Cd: 0.3333 0.6667 0.2500
Cd: 0.6667 0.3333 0.7500
Sb: 0.0000 0.0000 0.0000
Sb: 0.0000 0.0000 0.5000
Sb: 0.3333 0.6667 0.7500
Sb: 0.6667 0.3333 0.2500

Properties
Formation energy without anion corrections, eV/atom: 0.2264
Size of the total moment, μB/f.u.: 0.0
DFT total energy, eV/atom: -2.827

[12]
First-principles (GGA-PBE) data for a geometry-optimized SrNdSc structure, as listed in Alexandria via LeMat-Bulk.

a b c (Å): 3.6544 5.2827 11.6387
angles (deg): 90.00 99.12 90.00
Fractional positions:
Sr: 0.6945 0.2500 0.3861
Sr: 0.3055 0.7500 0.6139
Nd: 0.0926 0.7500 0.1827
Nd: 0.9074 0.2500 0.8173
Sc: 0.4637 0.7500 0.9295
Sc: 0.5363 0.2500 0.0705

Properties
Offset from the most stable computed form, meV per atom: 0
ΔE_f, eV/atom: 0.104
Size of the total moment, μB/f.u.: 0.0
DFT total energy, eV/atom: -4.157